Computed, not measured: crystalline CuSe2 at its relaxed geometry at the PBE level of DFT. Values from VASP.

uncorrected formation energy	175	meV/atom
DFT total energy	-3.513	eV/atom

Quantum ESPRESSO input file:
```
&SYSTEM
  ibrav = 0, nat = 12, ntyp = 2
/
ATOMIC_SPECIES
Cu 63.55 Cu.upf
Se 78.96 Se.upf
ATOMIC_POSITIONS angstrom
Cu 0.000 0.000 1.685
Cu 0.000 0.000 5.054
Cu 2.900 2.900 1.685
Cu 2.900 2.900 5.054
Se 0.847 2.053 0.000
Se 0.847 3.747 3.369
Se 2.053 0.847 3.369
Se 2.053 4.953 0.000
Se 3.747 0.847 0.000
Se 3.747 4.953 3.369
Se 4.953 2.053 3.369
Se 4.953 3.747 0.000
CELL_PARAMETERS angstrom
5.800 0.000 0.000
0.000 5.800 0.000
0.000 0.000 6.739
```



Computed, not measured: crystalline CuSe2 at its relaxed geometry at the PBE level of DFT. Values from VASP.

uncorrected formation energy	185	meV/atom
DFT total energy	-3.504	eV/atom

Quantum ESPRESSO input file:
```
&SYSTEM
  ibrav = 0, nat = 12, ntyp = 2
/
ATOMIC_SPECIES
Cu 63.55 Cu.upf
Se 78.96 Se.upf
ATOMIC_POSITIONS angstrom
Cu 0.000 2.460 0.788
Cu 0.000 19.756 2.363
Cu 1.747 8.648 2.363
Cu 1.747 13.569 0.788
Se 0.000 7.028 2.363
Se 0.000 10.048 0.788
Se 0.000 12.168 2.363
Se 0.000 15.189 0.788
Se 1.747 1.060 2.363
Se 1.747 4.081 0.788
Se 1.747 18.136 2.363
Se 1.747 21.156 0.788
CELL_PARAMETERS angstrom
3.495 0.000 0.000
0.000 22.216 0.000
0.000 0.000 3.151
```



Computed, not measured: crystalline Cu3Se at its relaxed geometry at the PBE level of DFT. Values from VASP.

uncorrected formation energy	218	meV/atom
DFT total energy	-3.725	eV/atom

Quantum ESPRESSO input file:
```
&SYSTEM
  ibrav = 0, nat = 8, ntyp = 2
/
ATOMIC_SPECIES
Cu 63.55 Cu.upf
Se 78.96 Se.upf
ATOMIC_POSITIONS angstrom
Cu 0.000 0.000 0.000
Cu 0.000 2.232 3.265
Cu 0.000 6.457 3.265
Cu 1.361 2.112 0.892
Cu 1.361 4.345 2.374
Cu 1.361 6.577 0.892
Se 0.000 4.345 0.008
Se 1.361 0.000 2.382
CELL_PARAMETERS angstrom
2.723 0.000 0.000
0.000 8.690 0.000
0.000 0.000 4.747
```



Computed, not measured: crystalline Cu8Se at its relaxed geometry at the PBE level of DFT. Values from VASP.

uncorrected formation energy	45	meV/atom
DFT total energy	-3.984	eV/atom

Quantum ESPRESSO input file:
```
&SYSTEM
  ibrav = 0, nat = 9, ntyp = 2
/
ATOMIC_SPECIES
Cu 63.55 Cu.upf
Se 78.96 Se.upf
ATOMIC_POSITIONS angstrom
Cu 2.695 0.000 0.000
Cu 5.241 0.000 0.000
Cu 2.597 2.597 0.000
Cu 1.371 -1.371 1.822
Cu 0.000 2.695 0.000
Cu 0.000 5.241 0.000
Cu -1.371 1.371 1.822
Cu 1.371 1.371 1.822
Se 0.000 0.000 0.000
CELL_PARAMETERS angstrom
-3.968 3.968 1.822
3.968 -3.968 1.822
3.968 3.968 -1.822
```



Computed, not measured: crystalline Cu9Se5 at its relaxed geometry at the PBE level of DFT. Values from VASP.

uncorrected formation energy	-58	meV/atom
energy above the most stable polymorph in this dataset	12	kJ/mol of formula units
DFT total energy	-3.935	eV/atom

Quantum ESPRESSO input file:
```
&SYSTEM
  ibrav = 0, nat = 14, ntyp = 2
/
ATOMIC_SPECIES
Cu 63.55 Cu.upf
Se 78.96 Se.upf
ATOMIC_POSITIONS angstrom
Cu 0.000 0.000 0.000
Cu -1.211 -0.002 2.484
Cu -2.832 0.086 5.244
Cu 2.489 0.035 1.226
Cu 1.244 -0.082 3.632
Cu 5.245 -0.082 2.841
Cu 3.999 0.035 5.247
Cu 9.320 0.086 1.229
Cu 7.699 -0.002 3.989
Se -0.627 1.257 4.646
Se 3.244 1.426 3.236
Se 7.115 1.257 1.827
Se 4.647 -1.234 0.639
Se 1.842 -1.234 5.834
CELL_PARAMETERS angstrom
6.465 -2.831 0.000
6.465 2.831 0.000
-6.442 0.000 6.473
```



Computed, not measured: crystalline CuSe2 at its relaxed geometry at the PBE level of DFT. Values from VASP.

uncorrected formation energy	9	meV/atom
DFT total energy	-3.679	eV/atom

Quantum ESPRESSO input file:
```
&SYSTEM
  ibrav = 0, nat = 12, ntyp = 2
/
ATOMIC_SPECIES
Cu 63.55 Cu.upf
Se 78.96 Se.upf
ATOMIC_POSITIONS angstrom
Cu 0.000 0.000 0.000
Cu 0.000 3.375 4.738
Cu 1.833 0.000 4.738
Cu 1.833 3.375 0.000
Se 0.000 1.336 3.454
Se 0.000 2.039 8.192
Se 0.000 4.710 1.285
Se 0.000 5.414 6.023
Se 1.833 1.336 1.285
Se 1.833 2.039 6.023
Se 1.833 4.710 3.454
Se 1.833 5.414 8.192
CELL_PARAMETERS angstrom
3.665 0.000 0.000
0.000 6.749 0.000
0.000 0.000 9.477
```



Computed, not measured: crystalline CuSe at its relaxed geometry at the PBE level of DFT. Values from VASP.

uncorrected formation energy	88	meV/atom
DFT total energy	-3.703	eV/atom

Quantum ESPRESSO input file:
```
&SYSTEM
  ibrav = 0, nat = 12, ntyp = 2
/
ATOMIC_SPECIES
Cu 63.55 Cu.upf
Se 78.96 Se.upf
ATOMIC_POSITIONS angstrom
Cu 0.000 2.283 0.684
Cu 0.000 2.283 4.323
Cu 0.000 2.283 7.962
Cu 1.977 1.141 9.330
Cu 1.977 1.141 12.969
Cu 1.977 1.141 16.608
Se 0.000 0.000 1.527
Se 0.000 0.000 7.119
Se 0.000 0.000 10.173
Se 0.000 0.000 15.766
Se 0.000 2.283 12.969
Se 1.977 1.141 4.323
CELL_PARAMETERS angstrom
3.954 0.000 0.000
-1.977 3.424 0.000
0.000 0.000 17.292
```



Computed, not measured: crystalline CuSe at its relaxed geometry at the PBE level of DFT. Values from VASP.

uncorrected formation energy	-61	meV/atom
DFT total energy	-3.851	eV/atom

Quantum ESPRESSO input file:
```
&SYSTEM
  ibrav = 0, nat = 4, ntyp = 2
/
ATOMIC_SPECIES
Cu 63.55 Cu.upf
Se 78.96 Se.upf
ATOMIC_POSITIONS angstrom
Cu 0.000 0.000 0.000
Cu 0.000 0.000 2.642
Se 0.000 2.237 1.321
Se 1.937 1.118 3.963
CELL_PARAMETERS angstrom
3.874 0.000 0.000
-1.937 3.355 0.000
0.000 0.000 5.284
```



Computed, not measured: crystalline CuSe at its relaxed geometry at the PBE level of DFT. Values from VASP.

uncorrected formation energy	-54	meV/atom
DFT total energy	-3.844	eV/atom

Quantum ESPRESSO input file:
```
&SYSTEM
  ibrav = 0, nat = 12, ntyp = 2
/
ATOMIC_SPECIES
Cu 63.55 Cu.upf
Se 78.96 Se.upf
ATOMIC_POSITIONS angstrom
Cu 0.000 1.690 3.379
Cu 0.000 5.069 3.379
Cu 1.690 3.379 0.000
Cu 3.379 0.000 1.690
Cu 3.379 0.000 5.069
Cu 5.069 3.379 0.000
Se 0.000 3.379 1.690
Se 0.000 3.379 5.069
Se 1.690 0.000 3.379
Se 3.379 1.690 0.000
Se 3.379 5.069 0.000
Se 5.069 0.000 3.379
CELL_PARAMETERS angstrom
6.759 0.000 0.000
0.000 6.759 0.000
0.000 0.000 6.759
```



Computed, not measured: crystalline CuSe at its relaxed geometry at the PBE level of DFT. Values from VASP.

uncorrected formation energy	-11	meV/atom
DFT total energy	-3.801	eV/atom

Quantum ESPRESSO input file:
```
&SYSTEM
  ibrav = 0, nat = 8, ntyp = 2
/
ATOMIC_SPECIES
Cu 63.55 Cu.upf
Se 78.96 Se.upf
ATOMIC_POSITIONS angstrom
Cu 0.000 2.485 0.852
Cu 0.000 10.917 2.556
Cu 1.708 4.216 2.556
Cu 1.708 9.185 0.852
Se 0.000 4.990 0.852
Se 0.000 8.412 2.556
Se 1.708 1.711 2.556
Se 1.708 11.691 0.852
CELL_PARAMETERS angstrom
3.415 0.000 0.000
0.000 13.402 0.000
0.000 0.000 3.408
```



Computed, not measured: crystalline CuSe3 at its relaxed geometry at the PBE level of DFT. Values from VASP.

uncorrected formation energy	225	meV/atom
DFT total energy	-3.413	eV/atom

Quantum ESPRESSO input file:
```
&SYSTEM
  ibrav = 0, nat = 16, ntyp = 2
/
ATOMIC_SPECIES
Cu 63.55 Cu.upf
Se 78.96 Se.upf
ATOMIC_POSITIONS angstrom
Cu 0.000 0.000 4.848
Cu 0.000 0.000 32.371
Cu 1.796 1.796 13.762
Cu 1.796 1.796 23.457
Se 0.000 0.000 14.043
Se 0.000 0.000 23.176
Se 0.000 1.796 0.000
Se 0.000 1.796 9.305
Se 0.000 1.796 18.609
Se 0.000 1.796 27.914
Se 1.796 0.000 0.000
Se 1.796 0.000 9.305
Se 1.796 0.000 18.609
Se 1.796 0.000 27.914
Se 1.796 1.796 4.567
Se 1.796 1.796 32.652
CELL_PARAMETERS angstrom
3.592 0.000 0.000
0.000 3.592 0.000
0.000 0.000 37.219
```



Computed, not measured: crystalline Cu9Se5 at its relaxed geometry at the PBE level of DFT. Values from VASP.

uncorrected formation energy	-67	meV/atom
energy above the most stable polymorph in this dataset	0	kJ/mol of formula units
DFT total energy	-3.945	eV/atom

Quantum ESPRESSO input file:
```
&SYSTEM
  ibrav = 0, nat = 28, ntyp = 2
/
ATOMIC_SPECIES
Cu 63.55 Cu.upf
Se 78.96 Se.upf
ATOMIC_POSITIONS angstrom
Cu 1.445 2.022 3.643
Cu 3.025 5.362 6.024
Cu 5.377 8.948 8.639
Cu 4.300 4.556 8.117
Cu 3.575 5.919 1.798
Cu 5.190 6.338 4.998
Cu 4.136 2.134 4.501
Cu 6.341 5.990 7.298
Cu 5.634 2.323 7.805
Cu 5.865 7.627 1.130
Cu 5.158 3.960 1.637
Cu 7.363 7.816 4.434
Cu 6.308 3.612 3.937
Cu 7.924 4.031 7.137
Cu 7.199 5.394 0.819
Cu 6.121 1.002 0.296
Cu 8.474 4.588 2.911
Cu 10.054 7.928 5.293
Se 4.149 7.009 7.387
Se 3.202 2.758 6.919
Se 3.960 4.467 3.784
Se 4.997 8.175 3.400
Se 3.861 2.132 0.225
Se 7.638 7.818 8.710
Se 6.501 1.775 5.535
Se 7.539 5.483 5.151
Se 8.297 7.192 2.016
Se 7.350 2.941 1.548
CELL_PARAMETERS angstrom
6.817 0.000 0.000
1.938 7.903 0.000
2.744 2.047 8.935
```